No. 1
A relaxed structure of BeCu2Sn. Source: Alexandria via LeMat-Bulk, functional PBE-GGA.

Summary:
- distance to the lowest polymorph of the same formula (meV/atom) = 0
- formation enthalpy at 0 K (eV per atom) = 0.286

Cell lengths 6.117, 6.117, 6.117 Å; angles 90.00, 90.00, 90.00 degrees
Space group Fm-3m (No. 225)
Unique sites:
Be1 0.000 0.000 0.000 [4 per cell]
Cu1 0.250 0.250 0.250 [8 per cell]
Sn1 0.000 0.000 0.500 [4 per cell]

---

No. 2
A relaxed structure of Ga4Co5Re. Source: Alexandria via LeMat-Bulk, functional PBE-GGA.

Summary:
- formation enthalpy at 0 K (eV per atom) = -0.201

Cell lengths 2.761, 2.761, 15.855 Å; angles 90.00, 90.00, 90.00 degrees
Space group P4/mmm (No. 123)
Unique sites:
Ga1 0.000 0.000 0.098 [2 per cell]
Ga2 0.000 0.000 0.292 [2 per cell]
Co1 0.500 0.500 0.000 [1 per cell]
Co2 0.500 0.500 0.195 [2 per cell]
Co3 0.500 0.500 0.392 [2 per cell]
Re1 0.000 0.000 0.500 [1 per cell]

---

V values, unit Å³/cell, following the record order: 228.8 120.9.